Record 1
First-principles (GGA-PBEsol) data for a geometry-optimized Nd2Ge3Rh structure, as listed in Alexandria via LeMat-Bulk.

Summary:
Total energy, eV per atom: -6.37

abc: 4.050 4.317 7.268
angles: 90.00 90.00 90.00
Element x y z (fractional)
Nd 0.500 0.500 0.009
Nd 0.500 0.000 0.496
Ge 0.000 0.000 0.834
Ge 0.000 0.000 0.174
Ge 0.000 0.500 0.659
Rh 0.000 0.500 0.328


Record 2
First-principles (GGA-PBEsol) data for a geometry-optimized Hf2Au structure, as listed in Alexandria via LeMat-Bulk.

Summary:
Total energy, eV per atom: -8.77

abc: 3.201 3.201 6.191
angles: 104.98 104.98 90.00
Element x y z (fractional)
Au 0.000 0.000 0.000
Hf 0.338 0.338 0.676
Hf 0.662 0.662 0.324


Record 3
First-principles (GGA-PBEsol) data for a geometry-optimized Fe2NiOs2 structure, as listed in Alexandria via LeMat-Bulk.

Summary:
Total energy, eV per atom: -9.14

abc: 3.084 3.084 6.912
angles: 102.89 102.89 90.00
Each line ends with the local moment (μB).
Element x y z (fractional)
Ni 0.000 0.000 0.000  -0.07
Os 0.400 0.400 0.800  -0.08
Os 0.600 0.600 0.200  -0.08
Fe 0.250 0.750 0.500  1.02
Fe 0.750 0.250 0.500  1.02


Record 4
First-principles (GGA-PBEsol) data for a geometry-optimized LiBeSe structure, as listed in Alexandria via LeMat-Bulk.

Summary:
ΔE to the lowest computed polymorph, kJ/mol of formula units: 0.0
Total energy, eV per atom: -3.62
Formation energy (no corrections), eV/atom: -0.352

abc: 3.750 3.750 3.809
angles: 90.00 90.00 120.00
Element x y z (fractional)
Be 0.000 0.000 0.500
Se 0.667 0.333 0.500
Li 0.333 0.667 0.000


Record 5
First-principles (GGA-PBEsol) data for a geometry-optimized MgMnPb2 structure, as listed in Alexandria via LeMat-Bulk.

Summary:
Total energy, eV per atom: -4.42

abc: 5.167 5.167 5.167
angles: 60.00 60.00 60.00
Each line ends with the local moment (μB).
Element x y z (fractional)
Mg 0.500 0.500 0.500  -0.01
Mn 0.250 0.250 0.250  3.98
Pb 0.000 0.000 0.000  -0.03
Pb 0.750 0.750 0.750  0.01


Record 6
First-principles (GGA-PBEsol) data for a geometry-optimized Hg2PRh structure, as listed in Alexandria via LeMat-Bulk.

Summary:
Total energy, eV per atom: -3.44

abc: 3.611 3.611 5.329
angles: 90.00 90.00 90.00
Element x y z (fractional)
Hg 0.000 0.000 0.748
Hg 0.000 0.000 0.252
P 0.500 0.500 0.000
Rh 0.500 0.500 0.500


Record 7
First-principles (GGA-PBEsol) data for a geometry-optimized B3RhCl structure, as listed in Alexandria via LeMat-Bulk.

Summary:
Total energy, eV per atom: -5.28
Formation energy (no corrections), eV/atom: 0.959

abc: 4.104 4.104 4.104
angles: 90.00 90.00 90.00
Element x y z (fractional)
B 0.000 0.500 0.000
B 0.000 0.000 0.500
B 0.500 0.000 0.000
Rh 0.000 0.000 0.000
Cl 0.500 0.500 0.500


Record 8
First-principles (GGA-PBEsol) data for a geometry-optimized CsLa2PtC structure, as listed in Alexandria via LeMat-Bulk.

Summary:
Total energy, eV per atom: -5.24

abc: 4.947 4.947 5.747
angles: 90.00 90.00 90.00
Element x y z (fractional)
Cs 0.000 0.000 0.500
C 0.000 0.000 0.000
Pt 0.500 0.500 0.500
La 0.000 0.500 0.000
La 0.500 0.000 0.000